(1)
K3Rh5I12: relaxed, PBE-GGA.

Lattice parameters (Å, degrees): 15.510 15.510 15.510 109.47 109.47 109.47
Last column: magnetic moment on the atom in μB.
Sites, in units of the cell vectors:
1 K 0.750 0.375 0.125  0.00
2 K 0.875 0.750 0.125  0.00
3 K 0.375 0.750 0.625  0.00
4 K 0.250 0.125 0.375  0.00
5 K 0.875 0.125 0.250  0.00
6 K 0.375 0.625 0.250  0.00
7 K 0.625 0.375 0.750  0.00
8 K 0.125 0.875 0.750  0.00
9 K 0.750 0.875 0.625  0.00
10 K 0.625 0.250 0.375  0.00
11 K 0.125 0.250 0.875  0.00
12 K 0.250 0.625 0.875  0.00
13 Rh 0.125 0.375 0.250  1.28
14 Rh 0.000 0.500 0.000  -0.04
15 Rh 0.000 0.000 0.000  -0.04
16 Rh 0.375 0.250 0.125  1.28
17 Rh 0.500 0.000 0.500  -0.04
18 Rh 0.500 0.500 0.000  -0.04
19 Rh 0.125 0.750 0.375  1.28
20 Rh 0.750 0.125 0.875  1.28
21 Rh 0.750 0.625 0.375  1.28
22 Rh 0.375 0.125 0.750  1.28
23 Rh 0.625 0.875 0.250  1.28
24 Rh 0.500 0.500 0.500  -0.04
25 Rh 0.500 0.000 0.000  -0.04
26 Rh 0.000 0.000 0.500  -0.04
27 Rh 0.250 0.375 0.625  1.28
28 Rh 0.250 0.875 0.125  1.28
29 Rh 0.000 0.500 0.500  -0.04
30 Rh 0.875 0.250 0.625  1.28
31 Rh 0.625 0.750 0.875  1.28
32 Rh 0.875 0.625 0.750  1.28
33 I 0.690 0.108 0.014  0.09
34 I 0.324 0.514 0.406  0.09
35 I 0.986 0.392 0.310  0.09
36 I 0.514 0.190 0.108  0.09
37 I 0.582 0.690 0.676  0.09
38 I 0.986 0.594 0.176  0.09
39 I 0.324 0.810 0.418  0.09
40 I 0.094 0.918 0.108  0.09
41 I 0.594 0.986 0.676  0.09
42 I 0.690 0.582 0.176  0.09
43 I 0.810 0.486 0.392  0.09
44 I 0.824 0.906 0.014  0.09
45 I 0.108 0.690 0.514  0.09
46 I 0.392 0.406 0.082  0.09
47 I 0.082 0.906 0.392  0.09
48 I 0.418 0.108 0.594  0.09
49 I 0.082 0.176 0.190  0.09
50 I 0.486 0.676 0.094  0.09
51 I 0.824 0.918 0.310  0.09
52 I 0.108 0.418 0.094  0.09
53 I 0.392 0.986 0.810  0.09
54 I 0.594 0.608 0.418  0.09
55 I 0.906 0.824 0.514  0.09
56 I 0.810 0.324 0.918  0.09
57 I 0.406 0.392 0.582  0.09
58 I 0.094 0.176 0.486  0.09
59 I 0.190 0.676 0.082  0.09
60 I 0.176 0.082 0.690  0.09
61 I 0.608 0.014 0.190  0.09
62 I 0.892 0.582 0.906  0.09
63 I 0.514 0.324 0.906  0.09
64 I 0.582 0.892 0.406  0.09
65 I 0.918 0.824 0.810  0.09
66 I 0.918 0.094 0.608  0.09
67 I 0.892 0.310 0.486  0.09
68 I 0.176 0.094 0.986  0.09
69 I 0.608 0.594 0.918  0.09
70 I 0.406 0.014 0.324  0.09
71 I 0.310 0.418 0.824  0.09
72 I 0.190 0.514 0.608  0.09
73 I 0.906 0.082 0.892  0.09
74 I 0.676 0.190 0.582  0.09
75 I 0.486 0.810 0.892  0.09
76 I 0.014 0.406 0.824  0.09
77 I 0.418 0.310 0.324  0.09
78 I 0.014 0.608 0.690  0.09
79 I 0.676 0.486 0.594  0.09
80 I 0.310 0.892 0.986  0.09

Calculated values
Its total magnetization is 0.30 μB per atom. The space-group type is Ia-3d, No. 230. The raw total energy is -3.28 eV per atom. The mass density is 4.98 g cm⁻³.



(2)
K2RhI: relaxed, PBE-GGA.

Lattice parameters (Å, degrees): 12.140 12.140 8.957 47.33 47.33 90.00
Sites, in units of the cell vectors:
1 I 0.000 0.000 0.000
2 I 0.750 0.250 0.500
3 K 0.415 0.125 0.250
4 K 0.335 0.625 0.250
5 K 0.375 0.585 0.750
6 K 0.875 0.665 0.750
7 Rh 0.500 0.500 0.000
8 Rh 0.250 0.750 0.500

Calculated values
Its total magnetization is 0.00 μB per atom. The space-group type is I-42d, No. 122. The raw total energy is -2.92 eV per atom. The mass density is 2.72 g cm⁻³.



Number 1: formation energy without anion corrections -0.344 eV/atom. Number 2: formation energy without anion corrections -0.148 eV/atom.